Model 1:
Material: TiAs2Cl
Method: DFT, PBE
State: optimized geometry

```
data_TiAs2Cl
_chemical_formula_sum 'Ti4 As8 Cl4'
_cell_length_a 6.6767
_cell_length_b 6.6767
_cell_length_c 6.6767
_cell_angle_alpha 90.00
_cell_angle_beta 90.00
_cell_angle_gamma 90.00
_space_group_name_H-M_alt 'F m -3 m'
_space_group_IT_number 225
_space_group_name_Hall '-F 4 2 3'
loop_
_atom_site_label
_atom_site_fract_x
_atom_site_fract_y
_atom_site_fract_z
Ti1 0.0000 0.0000 0.0000
As1 0.2500 0.2500 0.2500
Cl1 0.0000 0.0000 0.5000
```

Fermi-level density of states = 1.081 states/eV per atom

***

Model 2:
Material: TiAs2Cl
Method: DFT, PBE
State: optimized geometry

```
data_TiAs2Cl
_chemical_formula_sum 'Ti4 As8 Cl4'
_cell_length_a 3.9046
_cell_length_b 3.9046
_cell_length_c 21.0368
_cell_angle_alpha 90.00
_cell_angle_beta 90.00
_cell_angle_gamma 90.00
_space_group_name_H-M_alt 'I -4 2 d'
_space_group_IT_number 122
_space_group_name_Hall 'I -4 2bw'
loop_
_atom_site_label
_atom_site_fract_x
_atom_site_fract_y
_atom_site_fract_z
Ti1 0.0000 0.0000 0.0000
As1 0.1952 0.2500 0.1250
Cl1 0.0000 0.0000 0.5000
```

Fermi-level density of states = 0.980 states/eV per atom

***

What should be chosen as the least stable of them? Choose model 1.

***

Model 1:
Material: Ti2AsCl
Method: DFT, PBE
State: optimized geometry

```
data_Ti2AsCl
_chemical_formula_sum 'Ti8 As4 Cl4'
_cell_length_a 6.3408
_cell_length_b 6.3408
_cell_length_c 6.3408
_cell_angle_alpha 90.00
_cell_angle_beta 90.00
_cell_angle_gamma 90.00
_space_group_name_H-M_alt 'F m -3 m'
_space_group_IT_number 225
_space_group_name_Hall '-F 4 2 3'
loop_
_atom_site_label
_atom_site_fract_x
_atom_site_fract_y
_atom_site_fract_z
Ti1 0.2500 0.2500 0.2500
As1 0.0000 0.0000 0.0000
Cl1 0.0000 0.0000 0.5000
```

Fermi-level density of states = 0.061 states/eV per atom

***

Model 2:
Material: Ti2AsCl
Method: DFT, PBE
State: optimized geometry

```
data_Ti2AsCl
_chemical_formula_sum 'Ti8 As4 Cl4'
_cell_length_a 5.5469
_cell_length_b 5.5469
_cell_length_c 11.7701
_cell_angle_alpha 90.00
_cell_angle_beta 90.00
_cell_angle_gamma 90.00
_space_group_name_H-M_alt 'I -4 2 d'
_space_group_IT_number 122
_space_group_name_Hall 'I -4 2bw'
loop_
_atom_site_label
_atom_site_fract_x
_atom_site_fract_y
_atom_site_fract_z
Ti1 0.2385 0.2500 0.1250
As1 0.0000 0.0000 0.5000
Cl1 0.0000 0.0000 0.0000
```

Fermi-level density of states = 1.457 states/eV per atom

***

What should be chosen as the least stable of them? Choose model 2.

***

Model 1:
Material: TlAsCl2
Method: DFT, PBE
State: optimized geometry

```
data_TlAsCl2
_chemical_formula_sum 'Tl2 As2 Cl4'
_cell_length_a 4.0449
_cell_length_b 6.9916
_cell_length_c 8.8587
_cell_angle_alpha 90.00
_cell_angle_beta 90.00
_cell_angle_gamma 90.00
_space_group_name_H-M_alt 'C m m 2'
_space_group_IT_number 35
_space_group_name_Hall 'C 2 -2'
loop_
_atom_site_label
_atom_site_fract_x
_atom_site_fract_y
_atom_site_fract_z
Tl1 0.0000 0.0000 0.0000
As1 0.0000 0.5000 0.2732
Cl1 0.0000 0.0000 0.4247
Cl2 0.0000 0.5000 0.7926
```

Fermi-level density of states = 0.536 states/eV per atom

***

Model 2:
Material: TlAsCl2
Method: DFT, PBE
State: optimized geometry

```
data_TlAsCl2
_chemical_formula_sum 'Tl3 As3 Cl6'
_cell_length_a 3.4803
_cell_length_b 3.4803
_cell_length_c 27.5741
_cell_angle_alpha 90.00
_cell_angle_beta 90.00
_cell_angle_gamma 120.00
_space_group_name_H-M_alt 'R -3 m'
_space_group_IT_number 166
_space_group_name_Hall '-R 3 2"'
loop_
_atom_site_label
_atom_site_fract_x
_atom_site_fract_y
_atom_site_fract_z
Tl1 0.0000 0.0000 0.0000
As1 0.0000 0.0000 0.5000
Cl1 0.0000 0.0000 0.2451
```

Fermi-level density of states = 0.402 states/eV per atom

***

What should be chosen as the least stable of them? Choose model 2.

***

Model 1:
Material: TlAsCl2
Method: DFT, PBE
State: optimized geometry

```
data_TlAsCl2
_chemical_formula_sum 'Tl1 As1 Cl2'
_cell_length_a 3.5534
_cell_length_b 4.5250
_cell_length_c 6.1351
_cell_angle_alpha 90.00
_cell_angle_beta 90.00
_cell_angle_gamma 90.00
_space_group_name_H-M_alt 'P m m m'
_space_group_IT_number 47
_space_group_name_Hall '-P 2 2'
loop_
_atom_site_label
_atom_site_fract_x
_atom_site_fract_y
_atom_site_fract_z
Tl1 0.0000 0.0000 0.0000
As1 0.5000 0.0000 0.5000
Cl1 0.0000 0.5000 0.5000
Cl2 0.5000 0.5000 0.0000
```

Fermi-level density of states = 0.666 states/eV per atom

***

Model 2:
Material: TlAsCl2
Method: DFT, PBE
State: optimized geometry

```
data_TlAsCl2
_chemical_formula_sum 'Tl1 As1 Cl2'
_cell_length_a 5.5400
_cell_length_b 3.7410
_cell_length_c 5.8538
_cell_angle_alpha 90.00
_cell_angle_beta 106.95
_cell_angle_gamma 90.00
_space_group_name_H-M_alt 'P 1 2/m 1'
_space_group_IT_number 10
_space_group_name_Hall '-P 2y'
loop_
_atom_site_label
_atom_site_fract_x
_atom_site_fract_y
_atom_site_fract_z
Tl1 0.0000 0.0000 0.0000
As1 0.5000 0.0000 0.5000
Cl1 0.3114 0.5000 0.6982
```

Fermi-level density of states = 0.209 states/eV per atom

***

Model 3:
Material: TlAsCl2
Method: DFT, PBE
State: optimized geometry

```
data_TlAsCl2
_chemical_formula_sum 'Tl1 As1 Cl2'
_cell_length_a 3.6610
_cell_length_b 3.6610
_cell_length_c 8.5416
_cell_angle_alpha 90.00
_cell_angle_beta 90.00
_cell_angle_gamma 90.00
_space_group_name_H-M_alt 'P 4 m m'
_space_group_IT_number 99
_space_group_name_Hall 'P 4 -2'
loop_
_atom_site_label
_atom_site_fract_x
_atom_site_fract_y
_atom_site_fract_z
Tl1 0.0000 0.0000 0.0000
As1 0.5000 0.5000 0.3593
Cl1 0.0000 0.0000 0.4398
Cl2 0.5000 0.5000 0.8219
```

Fermi-level density of states = 0.630 states/eV per atom

***

Model 4:
Material: TlAsCl2
Method: DFT, PBE
State: optimized geometry

```
data_TlAsCl2
_chemical_formula_sum 'Tl4 As4 Cl8'
_cell_length_a 7.2748
_cell_length_b 7.2748
_cell_length_c 7.2748
_cell_angle_alpha 90.00
_cell_angle_beta 90.00
_cell_angle_gamma 90.00
_space_group_name_H-M_alt 'F -4 3 m'
_space_group_IT_number 216
_space_group_name_Hall 'F -4 2 3'
loop_
_atom_site_label
_atom_site_fract_x
_atom_site_fract_y
_atom_site_fract_z
Tl1 0.0000 0.0000 0.0000
As1 0.2500 0.2500 0.2500
Cl1 0.0000 0.0000 0.5000
Cl2 0.2500 0.2500 0.7500
```

Fermi-level density of states = 0.412 states/eV per atom

***

What should be chosen as the least stable of them? Choose model 4.

***

Model 1:
Material: TlAsCl2
Method: DFT, PBE
State: optimized geometry

```
data_TlAsCl2
_chemical_formula_sum 'Tl2 As2 Cl4'
_cell_length_a 3.6578
_cell_length_b 4.0764
_cell_length_c 15.0261
_cell_angle_alpha 90.00
_cell_angle_beta 90.00
_cell_angle_gamma 90.00
_space_group_name_H-M_alt 'I m m 2'
_space_group_IT_number 44
_space_group_name_Hall 'I 2 -2'
loop_
_atom_site_label
_atom_site_fract_x
_atom_site_fract_y
_atom_site_fract_z
Tl1 0.0000 0.0000 0.0000
As1 0.0000 0.5000 0.3267
Cl1 0.0000 0.0000 0.5855
Cl2 0.0000 0.5000 0.8085
```

Fermi-level density of states = 0.667 states/eV per atom

***

Model 2:
Material: TlAsCl2
Method: DFT, PBE
State: optimized geometry

```
data_TlAsCl2
_chemical_formula_sum 'Tl2 As2 Cl4'
_cell_length_a 10.7668
_cell_length_b 3.5235
_cell_length_c 6.1949
_cell_angle_alpha 90.00
_cell_angle_beta 98.34
_cell_angle_gamma 90.00
_space_group_name_H-M_alt 'C 1 m 1'
_space_group_IT_number 8
_space_group_name_Hall 'C -2y'
loop_
_atom_site_label
_atom_site_fract_x
_atom_site_fract_y
_atom_site_fract_z
Tl1 0.0000 0.0000 0.0000
As1 0.3495 0.0000 0.6577
Cl1 0.0048 0.5000 0.4572
Cl2 0.2162 0.5000 0.0574
```

Fermi-level density of states = 0.508 states/eV per atom

***

What should be chosen as the least stable of them? Choose model 1.

***

Model 1:
Material: TlAsCl2
Method: DFT, PBE
State: optimized geometry

```
data_TlAsCl2
_chemical_formula_sum 'Tl2 As2 Cl4'
_cell_length_a 8.1928
_cell_length_b 8.1935
_cell_length_c 3.2832
_cell_angle_alpha 90.00
_cell_angle_beta 90.33
_cell_angle_gamma 90.00
_space_group_name_H-M_alt 'C 1 2/m 1'
_space_group_IT_number 12
_space_group_name_Hall '-C 2y'
loop_
_atom_site_label
_atom_site_fract_x
_atom_site_fract_y
_atom_site_fract_z
Tl1 0.0000 0.0000 0.0000
As1 0.0000 0.5000 0.0000
Cl1 0.2500 0.2500 0.0000
```

Fermi-level density of states = 0.562 states/eV per atom

***

Model 2:
Material: TlAsCl2
Method: DFT, PBE
State: optimized geometry

```
data_TlAsCl2
_chemical_formula_sum 'Tl3 As3 Cl6'
_cell_length_a 3.6182
_cell_length_b 3.6182
_cell_length_c 28.6184
_cell_angle_alpha 90.00
_cell_angle_beta 90.00
_cell_angle_gamma 120.00
_space_group_name_H-M_alt 'R -3 m'
_space_group_IT_number 166
_space_group_name_Hall '-R 3 2"'
loop_
_atom_site_label
_atom_site_fract_x
_atom_site_fract_y
_atom_site_fract_z
Tl1 0.0000 0.0000 0.0000
As1 0.0000 0.0000 0.5000
Cl1 0.0000 0.0000 0.4145
```

Fermi-level density of states = 0.302 states/eV per atom

***

Model 3:
Material: TlAsCl2
Method: DFT, PBE
State: optimized geometry

```
data_TlAsCl2
_chemical_formula_sum 'Tl2 As2 Cl4'
_cell_length_a 3.5017
_cell_length_b 6.3844
_cell_length_c 9.3975
_cell_angle_alpha 90.00
_cell_angle_beta 90.00
_cell_angle_gamma 90.00
_space_group_name_H-M_alt 'C m m m'
_space_group_IT_number 65
_space_group_name_Hall '-C 2 2'
loop_
_atom_site_label
_atom_site_fract_x
_atom_site_fract_y
_atom_site_fract_z
Tl1 0.0000 0.0000 0.0000
As1 0.0000 0.0000 0.5000
Cl1 0.0000 0.5000 0.2990
```

Fermi-level density of states = 0.415 states/eV per atom

***

Model 4:
Material: TlAsCl2
Method: DFT, PBE
State: optimized geometry

```
data_TlAsCl2
_chemical_formula_sum 'Tl1 As1 Cl2'
_cell_length_a 3.5626
_cell_length_b 5.6418
_cell_length_c 5.3911
_cell_angle_alpha 90.00
_cell_angle_beta 90.00
_cell_angle_gamma 90.00
_space_group_name_H-M_alt 'P m m 2'
_space_group_IT_number 25
_space_group_name_Hall 'P 2 -2'
loop_
_atom_site_label
_atom_site_fract_x
_atom_site_fract_y
_atom_site_fract_z
Tl1 0.0000 0.0000 0.0000
As1 0.5000 0.5000 0.4933
Cl1 0.5000 0.0000 0.4910
Cl2 0.5000 0.5000 0.9352
```

Fermi-level density of states = 0.567 states/eV per atom

***

What should be chosen as the least stable of them? Choose model 1.